Record 1
The following is a DFT calculation (PBE-GGA) of a relaxed structure of Ba2YBe.

As for the crystal system: tetragonal. Its formation energy is 61.20 kJ per mole of atoms. As for the space-group type: I4/mmm. The density of states at the Fermi level comes out at 7.7 states/eV/f.u. The value obtained for the magnetic moment is 0.0 μB per cell.

Cell and atoms, written as extended XYZ:
```
4
Lattice="-2.547 2.547 5.391 2.547 -2.547 5.391 2.547 2.547 -5.391" Properties=species:S:1:pos:R:3 pbc="T T T"
Ba 2.547 0.000 2.695
Ba 0.000 2.547 2.695
Y 0.000 0.000 0.000
Be 0.000 0.000 5.391
```



Record 2
The following is a DFT calculation (PBE-GGA) of a relaxed structure of Ba2YBe.

As for the crystal system: tetragonal. Its formation energy is 25.20 kJ per mole of atoms. As for the space-group type: P4mm. The density of states at the Fermi level comes out at 5.2 states/eV/f.u. The value obtained for the magnetic moment is 0.0 μB per cell.

Cell and atoms, written as extended XYZ:
```
4
Lattice="3.804 0.000 0.000 0.000 3.804 0.000 0.000 0.000 10.223" Properties=species:S:1:pos:R:3 pbc="T T T"
Ba 0.000 0.000 0.000
Ba 1.902 1.902 3.777
Y 1.902 1.902 7.136
Be 0.000 0.000 5.906
```



Record 3
The following is a DFT calculation (PBE-GGA) of a relaxed structure of Ba2YBe.

As for the crystal system: monoclinic. Its formation energy is 43.63 kJ per mole of atoms. As for the space-group type: Pm. The density of states at the Fermi level comes out at 5.3 states/eV/f.u. The value obtained for the magnetic moment is 0.0 μB per cell.

Cell and atoms, written as extended XYZ:
```
4
Lattice="4.282 0.000 0.000 0.000 4.893 0.000 -2.135 0.000 7.478" Properties=species:S:1:pos:R:3 pbc="T T T"
Ba 0.000 0.000 0.000
Ba 0.010 2.446 4.560
Y 2.152 0.000 2.879
Be 2.129 2.446 1.495
```